# In2Fe3 PBE relaxed
# theoretical density	7.325	g/cm³
# volume	18.0	Å³/atom
# excess energy over the best structure of this formula in the dataset	438	meV per atom
# spin magnetization	7.93	μB per formula unit
# D(E_F)	4.2	states/eV/cell
# formation energy from the elements	0.645	eV/atom
data_In2Fe3
_chemical_formula_sum 'In2 Fe3'
_cell_length_a 4.3858
_cell_length_b 4.3858
_cell_length_c 5.4050
_cell_angle_alpha 90.00
_cell_angle_beta 90.00
_cell_angle_gamma 120.00
_symmetry_space_group_name_H-M 'P -3 m 1'
_symmetry_Int_Tables_number 164
_symmetry_space_group_name_Hall '-P 3 2"'
loop_
_atom_site_label
_atom_site_type_symbol
_atom_site_fract_x
_atom_site_fract_y
_atom_site_fract_z
In1 In 0.3333 0.6667 0.3180
Fe1 Fe 0.0000 0.0000 0.5000
Fe2 Fe 0.3333 0.6667 0.8376